Computed, not measured: a relaxed structure of BeNiS at the PBE level of DFT.

Output
* total magnetic moment: 0.0 μB/f.u.
* E_form (uncorrected): -1.1 eV/f.u.
* volume: 85 Å³ per cell

```
BeNiS
1.0
3.4267 0.0000 0.0000
0.0000 3.3228 0.0000
-1.6694 0.0000 7.4728
Be Ni S
2 2 2
Cartesian
0.0000 0.0000 0.0000
0.0455 0.0000 5.5322
0.0442 1.6614 7.3723
1.7580 1.6614 5.6738
0.0005 1.6614 1.2744
1.7601 0.0000 4.2321
```